(1)
Compound: MnPt5
Source: Alexandria via LeMat-Bulk
Functional: meta-GGA SCAN
Structure: PBEsol geometry

energy relative to the elements: -0.259 eV per atom
magnetization: 3.26 μB/cell
DOS at the Fermi energy: 1.01 states/eV per atom
VASP energy: -370.78 eV per cell

CIF file:
```
data_MnPt5
_chemical_formula_sum 'Mn1 Pt5'
_space_group_name_H-M_alt 'P 4/m m m'
_space_group_IT_number 123
_space_group_name_Hall '-P 4 2'
_cell_length_a 2.756
_cell_length_b 2.756
_cell_length_c 11.566
_cell_angle_alpha 90.00
_cell_angle_beta 90.00
_cell_angle_gamma 90.00
loop_
_atom_site_label
_atom_site_type_symbol
_atom_site_fract_x
_atom_site_fract_y
_atom_site_fract_z
Mn1 Mn 0.000 0.000 0.000
Pt1 Pt 0.000 0.000 0.330
Pt2 Pt 0.500 0.500 0.155
Pt3 Pt 0.500 0.500 0.500
```


(2)
Compound: MnPt2
Source: Alexandria via LeMat-Bulk
Functional: meta-GGA SCAN
Structure: PBEsol geometry

energy relative to the elements: -0.612 eV per atom
magnetization: 17.35 μB/cell
DOS at the Fermi energy: 0.61 states/eV per atom
VASP energy: -641.91 eV per cell

CIF file:
```
data_MnPt2
_chemical_formula_sum 'Mn4 Pt8'
_space_group_name_H-M_alt 'C m c m'
_space_group_IT_number 63
_space_group_name_Hall '-C 2c 2'
_cell_length_a 3.758
_cell_length_b 11.725
_cell_length_c 3.919
_cell_angle_alpha 90.00
_cell_angle_beta 90.00
_cell_angle_gamma 90.00
loop_
_atom_site_label
_atom_site_type_symbol
_atom_site_fract_x
_atom_site_fract_y
_atom_site_fract_z
Mn1 Mn 0.000 0.089 0.250
Pt1 Pt 0.000 0.254 0.750
Pt2 Pt 0.000 0.421 0.250
```


(3)
Compound: Mn3Pt
Source: Alexandria via LeMat-Bulk
Functional: meta-GGA SCAN
Structure: PBEsol geometry

energy relative to the elements: -0.099 eV per atom
magnetization: 3.70 μB/cell
DOS at the Fermi energy: 1.01 states/eV per atom
VASP energy: -125.36 eV per cell

CIF file:
```
data_Mn3Pt
_chemical_formula_sum 'Mn3 Pt1'
_space_group_name_H-M_alt 'P m -3 m'
_space_group_IT_number 221
_space_group_name_Hall '-P 4 2 3'
_cell_length_a 3.588
_cell_length_b 3.588
_cell_length_c 3.588
_cell_angle_alpha 90.00
_cell_angle_beta 90.00
_cell_angle_gamma 90.00
loop_
_atom_site_label
_atom_site_type_symbol
_atom_site_fract_x
_atom_site_fract_y
_atom_site_fract_z
Mn1 Mn 0.000 0.000 0.500
Pt1 Pt 0.500 0.500 0.500
```


> Among the records above, which one has the highest magnetization?

MnPt2


> Which formula does entry 2 have?

MnPt2


> What is the formula in the second record?

MnPt2